[1]
The following is a GGA-PBE calculation of crystalline BaWS2Cl at its relaxed geometry, from Alexandria.

Lattice parameters (Å, degrees): 4.718 4.718 5.239 90.00 90.00 90.00
Atoms (fractional coordinates):
1 S 0.000 0.500 0.000
2 S 0.500 0.000 0.000
3 Ba 0.500 0.500 0.500
4 W 0.000 0.000 0.000
5 Cl 0.000 0.000 0.500

Output
As for the distance to the lowest polymorph of the same formula: 0.00 eV/f.u. As for the raw total energy: -29.81 eV per formula unit. The calculation puts the formation energy without anion corrections at -0.967 eV/atom.



[2]
The following is a GGA-PBE calculation of crystalline HgBiP2O at its relaxed geometry, from Alexandria.

Lattice parameters (Å, degrees): 5.365 5.365 4.162 90.00 90.00 90.00
Atoms (fractional coordinates):
1 P 0.000 0.500 0.000
2 P 0.500 0.000 0.000
3 Bi 0.000 0.000 0.000
4 O 0.000 0.000 0.500
5 Hg 0.500 0.500 0.500

Output
As for the distance to the lowest polymorph of the same formula: 0.00 eV/f.u. As for the raw total energy: -16.47 eV per formula unit. The calculation puts the formation energy without anion corrections at 0.699 eV/atom.



[3]
The following is a GGA-PBE calculation of crystalline Ca2MgZr at its relaxed geometry, from Alexandria.

Lattice parameters (Å, degrees): 5.487 5.487 5.487 60.00 60.00 60.00
Atoms (fractional coordinates):
1 Ca 0.000 0.000 0.000
2 Ca 0.250 0.250 0.250
3 Mg 0.500 0.500 0.500
4 Zr 0.750 0.750 0.750

Output
The value obtained for the formation energy is 0.315 eV/atom. As for the raw total energy: -12.89 eV per formula unit.



[4]
The following is a GGA-PBE calculation of crystalline V2MoBr at its relaxed geometry, from Alexandria.

Lattice parameters (Å, degrees): 4.445 4.445 4.445 60.00 60.00 60.00
Atoms (fractional coordinates):
1 Mo 0.500 0.500 0.500
2 Br 0.000 0.000 0.000
3 V 0.250 0.250 0.250
4 V 0.750 0.750 0.750

Output
As for the distance to the lowest polymorph of the same formula: 0.00 eV/f.u. As for the raw total energy: -27.54 eV per formula unit. The calculation puts the formation energy without anion corrections at 0.800 eV/atom.



[5]
The following is a GGA-PBE calculation of crystalline Th8Co2Cu at its relaxed geometry, from Alexandria.

Lattice parameters (Å, degrees): 5.996 7.735 7.735 118.10 98.30 98.30
Atoms (fractional coordinates):
1 Co 0.538 0.746 0.323
2 Co 0.538 0.323 0.746
3 Cu 0.162 0.005 0.005
4 Th 0.570 0.358 0.104
5 Th 0.570 0.104 0.358
6 Th 0.160 0.376 0.376
7 Th 0.967 0.191 0.751
8 Th 0.967 0.751 0.191
9 Th 0.797 0.637 0.637
10 Th 0.366 0.901 0.641
11 Th 0.366 0.641 0.901

Output
The value obtained for the formation energy is 0.021 eV/atom. As for the raw total energy: -77.44 eV per formula unit.



[6]
The following is a GGA-PBE calculation of crystalline TmAgC2O8 at its relaxed geometry, from Alexandria.

Lattice parameters (Å, degrees): 5.167 5.167 6.672 90.00 90.00 120.00
Atoms (fractional coordinates):
1 Tm 0.000 0.000 0.000
2 Ag 0.000 0.000 0.500
3 C 0.667 0.333 0.276
4 C 0.333 0.667 0.724
5 O 0.812 0.188 0.211
6 O 0.812 0.625 0.211
7 O 0.375 0.188 0.211
8 O 0.625 0.812 0.789
9 O 0.333 0.667 0.518
10 O 0.667 0.333 0.482
11 O 0.188 0.812 0.789
12 O 0.188 0.375 0.789

Output
As for the raw total energy: -78.15 eV per formula unit. The calculation puts the formation energy without anion corrections at -1.060 eV/atom.



[7]
The following is a GGA-PBE calculation of crystalline Ac6TlGe2Se3 at its relaxed geometry, from Alexandria.

Lattice parameters (Å, degrees): 4.580 9.263 10.297 103.68 102.85 90.00
Atoms (fractional coordinates):
1 Ac 0.329 0.907 0.659
2 Ac 0.670 0.575 0.340
3 Ac 0.671 0.093 0.341
4 Ac 0.001 0.263 0.003
5 Ac 0.999 0.737 0.997
6 Ac 0.330 0.425 0.660
7 Tl 0.500 0.000 0.000
8 Ge 0.835 0.669 0.669
9 Ge 0.165 0.331 0.331
10 Se 0.500 0.500 0.000
11 Se 0.833 0.168 0.666
12 Se 0.167 0.832 0.334

Output
As for the raw total energy: -61.51 eV per formula unit. The calculation puts the formation energy without anion corrections at -1.234 eV/atom.



[8]
The following is a GGA-PBE calculation of crystalline NaLiNpCl6 at its relaxed geometry, from Alexandria.

Lattice parameters (Å, degrees): 6.686 6.686 12.657 90.00 90.00 120.00
Atoms (fractional coordinates):
1 Na 0.000 0.000 0.000
2 Na 0.000 0.000 0.500
3 Li 0.333 0.667 0.250
4 Li 0.667 0.333 0.750
5 Np 0.667 0.333 0.250
6 Np 0.333 0.667 0.750
7 Cl 0.646 0.647 0.134
8 Cl 0.001 0.354 0.134
9 Cl 0.354 0.001 0.634
10 Cl 0.999 0.646 0.866
11 Cl 0.353 0.354 0.366
12 Cl 0.001 0.647 0.366
13 Cl 0.647 0.001 0.866
14 Cl 0.646 0.999 0.366
15 Cl 0.999 0.353 0.634
16 Cl 0.353 0.999 0.134
17 Cl 0.647 0.646 0.634
18 Cl 0.354 0.353 0.866

Output
As for the raw total energy: -42.80 eV per formula unit. The calculation puts the formation energy without anion corrections at -1.727 eV/atom.



[9]
The following is a GGA-PBE calculation of crystalline Ac12Pb6Au at its relaxed geometry, from Alexandria.

Lattice parameters (Å, degrees): 9.573 9.573 9.573 99.57 99.57 99.57
Atoms (fractional coordinates):
1 Ac 0.808 0.578 0.441
2 Ac 0.441 0.808 0.578
3 Ac 0.578 0.441 0.808
4 Ac 0.192 0.422 0.559
5 Ac 0.559 0.192 0.422
6 Ac 0.422 0.559 0.192
7 Ac 0.060 0.981 0.322
8 Ac 0.019 0.678 0.940
9 Ac 0.678 0.940 0.019
10 Ac 0.940 0.019 0.678
11 Ac 0.981 0.322 0.060
12 Ac 0.322 0.060 0.981
13 Pb 0.686 0.876 0.359
14 Pb 0.641 0.314 0.124
15 Pb 0.124 0.641 0.314
16 Pb 0.314 0.124 0.641
17 Pb 0.359 0.686 0.876
18 Pb 0.876 0.359 0.686
19 Au 0.000 0.000 0.000

Output
The value obtained for the formation energy is -0.302 eV/atom. As for the raw total energy: -80.57 eV per formula unit.



[10]
The following is a GGA-PBE calculation of crystalline AcTbBi2 at its relaxed geometry, from Alexandria.

Lattice parameters (Å, degrees): 4.263 4.263 7.183 90.00 90.00 90.00
Atoms (fractional coordinates):
1 Ac 0.500 0.500 0.000
2 Tb 0.500 0.500 0.500
3 Bi 0.000 0.000 0.732
4 Bi 0.000 0.000 0.268

Output
As for the distance to the lowest polymorph of the same formula: 0.95 eV/f.u. The value obtained for the formation energy is -0.688 eV/atom. As for the raw total energy: -19.25 eV per formula unit.



[11]
The following is a GGA-PBE calculation of crystalline U2Pb4S9 at its relaxed geometry, from Alexandria.

Lattice parameters (Å, degrees): 7.196 7.197 19.019 90.00 90.00 60.01
Atoms (fractional coordinates):
1 U 0.000 0.000 0.346
2 U 0.000 0.000 0.154
3 U 0.000 0.000 0.654
4 U 0.000 0.000 0.846
5 Pb 0.333 0.333 0.977
6 Pb 0.333 0.333 0.477
7 Pb 0.667 0.667 0.023
8 Pb 0.333 0.333 0.181
9 Pb 0.667 0.667 0.523
10 Pb 0.666 0.667 0.319
11 Pb 0.334 0.333 0.681
12 Pb 0.667 0.667 0.819
13 S 0.000 0.270 0.750
14 S 0.271 0.729 0.750
15 S 0.730 0.000 0.750
16 S 0.000 0.730 0.250
17 S 0.729 0.271 0.250
18 S 0.270 0.000 0.250
19 S 0.703 0.965 0.413
20 S 0.965 0.332 0.413
21 S 0.331 0.704 0.413
22 S 0.668 0.036 0.087
23 S 0.296 0.668 0.087
24 S 0.035 0.296 0.087
25 S 0.297 0.035 0.587
26 S 0.035 0.668 0.587
27 S 0.669 0.296 0.587
28 S 0.332 0.964 0.913
29 S 0.704 0.332 0.913
30 S 0.965 0.704 0.913

Output
As for the raw total energy: -87.29 eV per formula unit. The calculation puts the formation energy without anion corrections at -0.849 eV/atom.



[12]
The following is a GGA-PBE calculation of crystalline NdDyZnPb at its relaxed geometry, from Alexandria.

Lattice parameters (Å, degrees): 5.325 5.325 5.325 60.00 60.00 60.00
Atoms (fractional coordinates):
1 Pb 0.500 0.500 0.500
2 Zn 0.000 0.000 0.000
3 Nd 0.250 0.250 0.250
4 Dy 0.750 0.750 0.750

Output
The value obtained for the formation energy is -0.383 eV/atom. As for the raw total energy: -15.88 eV per formula unit.